Entry from Alexandria: a geometry-optimized ScTaTe2I structure (PBE-GGA).

a b c (Å): 5.4492 5.4492 5.4724
angles (deg): 90.00 90.00 90.00
With the nearest neighbours (Å) after each atom.
Space group P4/mmm (No. 123)
Symmetry-distinct sites (fractional):
Sc 0.0000 0.0000 0.0000 x1  4 I 3.85, 8 Te 3.86
Ta 0.5000 0.5000 0.5000 x1  4 Te 2.72, 2 I 2.74
Te 0.0000 0.5000 0.5000 x2  2 Ta 2.72
I 0.5000 0.5000 0.0000 x1  2 Ta 2.74

## Properties
uncorrected energy: -0.1798 Ha/atom
density of states at the Fermi level: 6.21 states/eV/f.u.
ΔE_f (raw): 310 meV/atom